YWS2Cl | PBE | relaxed

Cell and atoms, written as CIF:
```
data_YWS2Cl
_cell_length_a 4.676
_cell_length_b 4.676
_cell_length_c 4.844
_cell_angle_alpha 90.00
_cell_angle_beta 90.00
_cell_angle_gamma 90.00
_space_group_name_H-M_alt 'P 4/m m m'
_space_group_IT_number 123
_space_group_name_Hall '-P 4 2'
loop_
_atom_site_label
_atom_site_fract_x
_atom_site_fract_y
_atom_site_fract_z
_atom_site_occupancy
Y1 0.000 0.000 0.000 1
W1 0.500 0.500 0.500 1
S1 0.000 0.500 0.500 1
Cl1 0.500 0.500 0.000 1
```

E_form (uncorrected), kJ per mole of atoms: -34.5


LiCrH3 | PBE | relaxed

Cell and atoms, written as CIF:
```
data_LiCrH3
_cell_length_a 3.266
_cell_length_b 3.266
_cell_length_c 3.266
_cell_angle_alpha 90.00
_cell_angle_beta 90.00
_cell_angle_gamma 90.00
_space_group_name_H-M_alt 'P m -3 m'
_space_group_IT_number 221
_space_group_name_Hall '-P 4 2 3'
loop_
_atom_site_label
_atom_site_fract_x
_atom_site_fract_y
_atom_site_fract_z
_atom_site_occupancy
Li1 0.000 0.000 0.000 1
Cr1 0.500 0.500 0.500 1
H1 0.000 0.000 0.500 1
```

E_tot, eV per atom: -4.0544


Ba4TlPb2 | PBE | relaxed

Cell and atoms, written as CIF:
```
data_Ba4TlPb2
_cell_length_a 6.0688
_cell_length_b 6.0688
_cell_length_c 29.4765
_cell_angle_alpha 90.00
_cell_angle_beta 90.00
_cell_angle_gamma 120.00
_space_group_name_H-M_alt 'R -3 m'
_space_group_IT_number 166
_space_group_name_Hall '-R 3 2"'
loop_
_atom_site_label
_atom_site_fract_x
_atom_site_fract_y
_atom_site_fract_z
_atom_site_occupancy
Ba1 0.0000 0.0000 0.1227 1
Ba2 0.0000 0.0000 0.3739 1
Tl1 0.0000 0.0000 0.5000 1
Pb1 0.0000 0.0000 0.2485 1
```

Calculated formation energy, eV/f.u.: -3.2


SrCe2Pa | PBE | relaxed

Cell and atoms, written as CIF:
```
data_SrCe2Pa
_cell_length_a 3.9483
_cell_length_b 3.9483
_cell_length_c 31.2629
_cell_angle_alpha 90.00
_cell_angle_beta 90.00
_cell_angle_gamma 120.00
_space_group_name_H-M_alt 'R -3 m'
_space_group_IT_number 166
_space_group_name_Hall '-R 3 2"'
loop_
_atom_site_label
_atom_site_fract_x
_atom_site_fract_y
_atom_site_fract_z
_atom_site_occupancy
Sr1 0.0000 0.0000 0.0000 1
Ce1 0.0000 0.0000 0.1170 1
Pa1 0.0000 0.0000 0.5000 1
```

Calculated formation energy, eV/f.u.: 2.4


BaIn2Ru | PBE | relaxed

Cell and atoms, written as CIF:
```
data_BaIn2Ru
_cell_length_a 4.6527
_cell_length_b 4.6527
_cell_length_c 18.5017
_cell_angle_alpha 90.00
_cell_angle_beta 90.00
_cell_angle_gamma 120.00
_space_group_name_H-M_alt 'R -3 m'
_space_group_IT_number 166
_space_group_name_Hall '-R 3 2"'
loop_
_atom_site_label
_atom_site_fract_x
_atom_site_fract_y
_atom_site_fract_z
_atom_site_occupancy
Ba1 0.0000 0.0000 0.0000 1
In1 0.0000 0.0000 0.2047 1
Ru1 0.0000 0.0000 0.5000 1
```

Calculated formation energy, eV/f.u.: -0.3


Ba2ThInS5 | PBE | relaxed

Cell and atoms, written as CIF:
```
data_Ba2ThInS5
_cell_length_a 4.376
_cell_length_b 18.025
_cell_length_c 12.985
_cell_angle_alpha 90.00
_cell_angle_beta 90.00
_cell_angle_gamma 90.00
_space_group_name_H-M_alt 'C m c 21'
_space_group_IT_number 36
_space_group_name_Hall 'C 2c -2'
loop_
_atom_site_label
_atom_site_fract_x
_atom_site_fract_y
_atom_site_fract_z
_atom_site_occupancy
Ba1 0.000 0.111 0.000 1
Ba2 0.000 0.132 0.611 1
Th1 0.000 0.211 0.318 1
In1 0.000 0.477 0.772 1
S1 0.000 0.056 0.363 1
S2 0.000 0.285 0.958 1
S3 0.000 0.309 0.680 1
S4 0.000 0.362 0.309 1
S5 0.000 0.496 0.083 1
```

E_form (uncorrected), kJ per mole of atoms: -158.8


DyBiSe2 | PBE | relaxed

Cell and atoms, written as CIF:
```
data_DyBiSe2
_cell_length_a 4.0150
_cell_length_b 4.0150
_cell_length_c 27.2141
_cell_angle_alpha 90.00
_cell_angle_beta 90.00
_cell_angle_gamma 120.00
_space_group_name_H-M_alt 'R -3 m'
_space_group_IT_number 166
_space_group_name_Hall '-R 3 2"'
loop_
_atom_site_label
_atom_site_fract_x
_atom_site_fract_y
_atom_site_fract_z
_atom_site_occupancy
Dy1 0.0000 0.0000 0.0000 1
Bi1 0.0000 0.0000 0.5000 1
Se1 0.0000 0.0000 0.3934 1
```

E_form (uncorrected), kJ per mole of atoms: -107.3


BPtI2O | PBE | relaxed

Cell and atoms, written as CIF:
```
data_BPtI2O
_cell_length_a 5.675
_cell_length_b 5.675
_cell_length_c 3.814
_cell_angle_alpha 90.00
_cell_angle_beta 90.00
_cell_angle_gamma 90.00
_space_group_name_H-M_alt 'P 4/m m m'
_space_group_IT_number 123
_space_group_name_Hall '-P 4 2'
loop_
_atom_site_label
_atom_site_fract_x
_atom_site_fract_y
_atom_site_fract_z
_atom_site_occupancy
B1 0.000 0.000 0.000 1
Pt1 0.500 0.500 0.500 1
I1 0.000 0.500 0.500 1
O1 0.500 0.500 0.000 1
```

E_form (uncorrected), kJ per mole of atoms: 82.7


LaMgMo2 | PBE | relaxed

Cell and atoms, written as CIF:
```
data_LaMgMo2
_cell_length_a 7.900
_cell_length_b 7.900
_cell_length_c 5.533
_cell_angle_alpha 90.00
_cell_angle_beta 90.00
_cell_angle_gamma 90.00
_space_group_name_H-M_alt 'I -4 2 d'
_space_group_IT_number 122
_space_group_name_Hall 'I -4 2bw'
loop_
_atom_site_label
_atom_site_fract_x
_atom_site_fract_y
_atom_site_fract_z
_atom_site_occupancy
La1 0.000 0.000 0.000 1
Mg1 0.000 0.000 0.500 1
Mo1 0.218 0.250 0.625 1
```

Calculated formation energy, eV/f.u.: 4.3


Ba2TlCu | PBE | relaxed

Cell and atoms, written as CIF:
```
data_Ba2TlCu
_cell_length_a 9.110
_cell_length_b 9.110
_cell_length_c 7.697
_cell_angle_alpha 90.00
_cell_angle_beta 90.00
_cell_angle_gamma 90.00
_space_group_name_H-M_alt 'I -4 2 d'
_space_group_IT_number 122
_space_group_name_Hall 'I -4 2bw'
loop_
_atom_site_label
_atom_site_fract_x
_atom_site_fract_y
_atom_site_fract_z
_atom_site_occupancy
Ba1 0.205 0.750 0.125 1
Tl1 0.000 0.000 0.500 1
Cu1 0.000 0.000 0.000 1
```

Calculated formation energy, eV/f.u.: 0.3


Ir2PbCl | PBE | relaxed

Cell and atoms, written as CIF:
```
data_Ir2PbCl
_cell_length_a 2.980
_cell_length_b 3.847
_cell_length_c 7.731
_cell_angle_alpha 90.00
_cell_angle_beta 90.00
_cell_angle_gamma 90.00
_space_group_name_H-M_alt 'P m m 2'
_space_group_IT_number 25
_space_group_name_Hall 'P 2 -2'
loop_
_atom_site_label
_atom_site_fract_x
_atom_site_fract_y
_atom_site_fract_z
_atom_site_occupancy
Ir1 0.000 0.000 0.000 1
Ir2 0.500 0.500 0.106 1
Pb1 0.000 0.000 0.393 1
Cl1 0.500 0.500 0.632 1
```

E_form (uncorrected), kJ per mole of atoms: 35.6


LiLaTl3 | PBE | relaxed

Cell and atoms, written as CIF:
```
data_LiLaTl3
_cell_length_a 5.117
_cell_length_b 5.117
_cell_length_c 5.117
_cell_angle_alpha 90.00
_cell_angle_beta 90.00
_cell_angle_gamma 90.00
_space_group_name_H-M_alt 'P m -3 m'
_space_group_IT_number 221
_space_group_name_Hall '-P 4 2 3'
loop_
_atom_site_label
_atom_site_fract_x
_atom_site_fract_y
_atom_site_fract_z
_atom_site_occupancy
Li1 0.000 0.000 0.000 1
La1 0.500 0.500 0.500 1
Tl1 0.000 0.000 0.500 1
```

Calculated formation energy, eV/f.u.: -0.9


Li3Pa3MnS8 | PBE | relaxed

Cell and atoms, written as CIF:
```
data_Li3Pa3MnS8
_cell_length_a 7.6929
_cell_length_b 7.6929
_cell_length_c 18.6884
_cell_angle_alpha 90.00
_cell_angle_beta 90.00
_cell_angle_gamma 120.00
_space_group_name_H-M_alt 'R -3 m'
_space_group_IT_number 166
_space_group_name_Hall '-R 3 2"'
loop_
_atom_site_label
_atom_site_fract_x
_atom_site_fract_y
_atom_site_fract_z
_atom_site_occupancy
Li1 0.0000 0.5000 0.0000 1
Pa1 0.0000 0.5000 0.5000 1
Mn1 0.0000 0.0000 0.5000 1
S1 0.0000 0.0000 0.2547 1
S2 0.0148 0.5074 0.2474 1
```

E_form (uncorrected), kJ per mole of atoms: -129.8


KYCd | PBE | relaxed

Cell and atoms, written as CIF:
```
data_KYCd
_cell_length_a 5.7703
_cell_length_b 5.7703
_cell_length_c 3.3210
_cell_angle_alpha 90.00
_cell_angle_beta 90.00
_cell_angle_gamma 120.00
_space_group_name_H-M_alt 'P 3 m 1'
_space_group_IT_number 156
_space_group_name_Hall 'P 3 -2"'
loop_
_atom_site_label
_atom_site_fract_x
_atom_site_fract_y
_atom_site_fract_z
_atom_site_occupancy
K1 0.0000 0.0000 0.0000 1
Y1 0.6667 0.3333 0.3083 1
Cd1 0.3333 0.6667 0.6928 1
```

Calculated formation energy, eV/f.u.: 0.9


LaZnGa2Pt5 | PBE | relaxed

Cell and atoms, written as CIF:
```
data_LaZnGa2Pt5
_cell_length_a 4.068
_cell_length_b 4.068
_cell_length_c 11.046
_cell_angle_alpha 90.00
_cell_angle_beta 90.00
_cell_angle_gamma 90.00
_space_group_name_H-M_alt 'P 4/m m m'
_space_group_IT_number 123
_space_group_name_Hall '-P 4 2'
loop_
_atom_site_label
_atom_site_fract_x
_atom_site_fract_y
_atom_site_fract_z
_atom_site_occupancy
La1 0.000 0.000 0.000 1
Zn1 0.000 0.000 0.500 1
Ga1 0.500 0.500 0.224 1
Pt1 0.000 0.500 0.354 1
Pt2 0.500 0.500 0.000 1
```

Calculated formation energy, eV/f.u.: -5.4


Sm3Sn4Ge2 | PBE | relaxed

Cell and atoms, written as CIF:
```
data_Sm3Sn4Ge2
_cell_length_a 8.0603
_cell_length_b 8.0603
_cell_length_c 4.1958
_cell_angle_alpha 90.00
_cell_angle_beta 90.00
_cell_angle_gamma 120.00
_space_group_name_H-M_alt 'P -6 2 m'
_space_group_IT_number 189
_space_group_name_Hall 'P -6 -2'
loop_
_atom_site_label
_atom_site_fract_x
_atom_site_fract_y
_atom_site_fract_z
_atom_site_occupancy
Sm1 0.0000 0.6058 0.0000 1
Sn1 0.0000 0.0000 0.0000 1
Sn2 0.0000 0.2859 0.5000 1
Ge1 0.3333 0.6667 0.5000 1
```

Calculated formation energy, eV/f.u.: -4.4


Zr7Sc2Co2 | PBE | relaxed

Cell and atoms, written as CIF:
```
data_Zr7Sc2Co2
_cell_length_a 5.481
_cell_length_b 8.695
_cell_length_c 9.826
_cell_angle_alpha 90.00
_cell_angle_beta 103.66
_cell_angle_gamma 90.00
_space_group_name_H-M_alt 'C 1 2/m 1'
_space_group_IT_number 12
_space_group_name_Hall '-C 2y'
loop_
_atom_site_label
_atom_site_fract_x
_atom_site_fract_y
_atom_site_fract_z
_atom_site_occupancy
Zr1 0.000 0.000 0.000 1
Zr2 0.074 0.335 0.167 1
Zr3 0.129 0.000 0.303 1
Sc1 0.000 0.284 0.500 1
Co1 0.244 0.000 0.581 1
```

Calculated formation energy, eV/f.u.: -0.7


La2PmDy3Ho6 | PBE | relaxed

Cell and atoms, written as CIF:
```
data_La2PmDy3Ho6
_cell_length_a 6.205
_cell_length_b 10.745
_cell_length_c 11.811
_cell_angle_alpha 90.00
_cell_angle_beta 100.06
_cell_angle_gamma 90.00
_space_group_name_H-M_alt 'C 1 2/m 1'
_space_group_IT_number 12
_space_group_name_Hall '-C 2y'
loop_
_atom_site_label
_atom_site_fract_x
_atom_site_fract_y
_atom_site_fract_z
_atom_site_occupancy
La1 0.000 0.167 0.000 1
Pm1 0.000 0.500 0.000 1
Dy1 0.000 0.000 0.500 1
Dy2 0.000 0.333 0.500 1
Ho1 0.247 0.500 0.745 1
Ho2 0.248 0.166 0.745 1
```

Calculated formation energy, eV/f.u.: 0.3


LaCd12Pd6 | PBE | relaxed

Cell and atoms, written as CIF:
```
data_LaCd12Pd6
_cell_length_a 12.4312
_cell_length_b 12.4312
_cell_length_c 9.2207
_cell_angle_alpha 90.00
_cell_angle_beta 90.00
_cell_angle_gamma 120.00
_space_group_name_H-M_alt 'R -3 m'
_space_group_IT_number 166
_space_group_name_Hall '-R 3 2"'
loop_
_atom_site_label
_atom_site_fract_x
_atom_site_fract_y
_atom_site_fract_z
_atom_site_occupancy
La1 0.0000 0.0000 0.0000 1
Cd1 0.0000 0.3845 0.5000 1
Cd2 0.0848 0.1696 0.3112 1
Pd1 0.0515 0.5257 0.2474 1
```

Calculated formation energy, eV/f.u.: -4.6


AlInTc2 | PBE | relaxed

Cell and atoms, written as CIF:
```
data_AlInTc2
_cell_length_a 3.181
_cell_length_b 4.694
_cell_length_c 8.659
_cell_angle_alpha 90.00
_cell_angle_beta 90.00
_cell_angle_gamma 90.00
_space_group_name_H-M_alt 'C m m m'
_space_group_IT_number 65
_space_group_name_Hall '-C 2 2'
loop_
_atom_site_label
_atom_site_fract_x
_atom_site_fract_y
_atom_site_fract_z
_atom_site_occupancy
Al1 0.000 0.000 0.000 1
In1 0.000 0.000 0.500 1
Tc1 0.000 0.500 0.233 1
```

Calculated formation energy, eV/f.u.: 0.7


Tm2SnGe2Rh5 | PBE | relaxed

Cell and atoms, written as CIF:
```
data_Tm2SnGe2Rh5
_cell_length_a 9.707
_cell_length_b 9.707
_cell_length_c 3.657
_cell_angle_alpha 90.00
_cell_angle_beta 90.00
_cell_angle_gamma 90.00
_space_group_name_H-M_alt 'P 4/m b m'
_space_group_IT_number 127
_space_group_name_Hall '-P 4 2ab'
loop_
_atom_site_label
_atom_site_fract_x
_atom_site_fract_y
_atom_site_fract_z
_atom_site_occupancy
Tm1 0.175 0.325 0.000 1
Sn1 0.000 0.000 0.000 1
Ge1 0.123 0.623 0.000 1
Rh1 0.000 0.500 0.500 1
Rh2 0.070 0.789 0.500 1
```

Calculated formation energy, eV/f.u.: -8.4


AcInAgPb | PBE | relaxed

Cell and atoms, written as CIF:
```
data_AcInAgPb
_cell_length_a 7.746
_cell_length_b 7.746
_cell_length_c 7.746
_cell_angle_alpha 90.00
_cell_angle_beta 90.00
_cell_angle_gamma 90.00
_space_group_name_H-M_alt 'F -4 3 m'
_space_group_IT_number 216
_space_group_name_Hall 'F -4 2 3'
loop_
_atom_site_label
_atom_site_fract_x
_atom_site_fract_y
_atom_site_fract_z
_atom_site_occupancy
Ac1 0.000 0.000 0.000 1
In1 0.250 0.250 0.750 1
Ag1 0.250 0.250 0.250 1
Pb1 0.000 0.000 0.500 1
```

Calculated formation energy, eV/f.u.: -0.9


NiMo3 | PBE | relaxed

Cell and atoms, written as CIF:
```
data_NiMo3
_cell_length_a 3.891
_cell_length_b 3.891
_cell_length_c 15.489
_cell_angle_alpha 90.00
_cell_angle_beta 90.00
_cell_angle_gamma 90.00
_space_group_name_H-M_alt 'I 4/m m m'
_space_group_IT_number 139
_space_group_name_Hall '-I 4 2'
loop_
_atom_site_label
_atom_site_fract_x
_atom_site_fract_y
_atom_site_fract_z
_atom_site_occupancy
Ni1 0.000 0.000 0.126 1
Mo1 0.000 0.000 0.378 1
Mo2 0.000 0.500 0.000 1
Mo3 0.000 0.500 0.250 1
```

Calculated formation energy, eV/f.u.: 0.5


TbTmCdAu | PBE | relaxed

Cell and atoms, written as CIF:
```
data_TbTmCdAu
_cell_length_a 3.664
_cell_length_b 3.664
_cell_length_c 7.257
_cell_angle_alpha 90.00
_cell_angle_beta 90.00
_cell_angle_gamma 90.00
_space_group_name_H-M_alt 'P 4 m m'
_space_group_IT_number 99
_space_group_name_Hall 'P 4 -2'
loop_
_atom_site_label
_atom_site_fract_x
_atom_site_fract_y
_atom_site_fract_z
_atom_site_occupancy
Tb1 0.000 0.000 0.000 1
Tm1 0.000 0.000 0.527 1
Cd1 0.500 0.500 0.270 1
Au1 0.500 0.500 0.751 1
```

Calculated formation energy, eV/f.u.: -2.4